A plane-wave DFT calculation with PBE was carried out for an optimized crystal structure of AlTl2Pt.

```
AlTl2Pt
1.0
3.2657 0.0000 0.0000
0.0000 3.2657 0.0000
0.0000 0.0000 8.8658
Al Tl Pt
1 2 1
Cartesian
0.0000 0.0000 0.0000
0.0000 0.0000 3.3394
1.6329 1.6329 6.4375
1.6329 1.6329 1.0218
```

Output
- energy (eV/cell) = -15.5
- ΔE_f (meV/atom) = -244
- energy relative to the lowest polymorph listed for this composition (meV/atom) = 0